[1]
CaAsP2O8 | PBE-GGA | relaxed

The structure in POSCAR format:
```
CaAsP2O8
1.0
2.357 1.361 7.548
-2.357 1.361 7.548
0.000 -2.722 7.548
Ca As P O
1 1 2 8
Cartesian
0.000 0.000 0.000
0.000 0.000 11.323
0.000 0.000 5.591
0.000 0.000 17.054
-0.879 -1.282 9.994
-0.671 -1.402 12.651
0.000 0.000 7.122
-0.671 1.402 9.994
-0.879 1.282 12.651
0.000 0.000 15.523
1.550 -0.120 9.994
1.550 0.120 12.651
```

space-group type	R32, No. 155
total energy	-6.701	eV/atom
raw formation energy	-1.940	eV per atom

---

[2]
Ca4AsPO | PBE-GGA | relaxed

The structure in POSCAR format:
```
Ca4AsPO
1.0
4.536 0.000 0.000
0.000 4.536 0.000
0.000 0.000 15.355
Ca As P O
8 2 2 2
Cartesian
0.000 0.000 0.000
0.000 0.000 5.335
0.000 2.268 2.576
0.000 2.268 10.253
2.268 0.000 2.576
2.268 0.000 10.253
2.268 2.268 7.677
2.268 2.268 13.013
0.000 0.000 12.398
2.268 2.268 4.721
0.000 0.000 8.204
2.268 2.268 0.527
0.000 0.000 2.487
2.268 2.268 10.165
```

space-group type	I4mm, No. 107
total energy	-4.985	eV/atom
raw formation energy	-1.696	eV per atom

---

[3]
CaAsPO2 | PBE-GGA | relaxed

The structure in POSCAR format:
```
CaAsPO2
1.0
3.989 0.000 0.000
0.000 3.989 0.000
0.000 0.000 4.763
Ca As P O
1 1 1 2
Cartesian
0.000 0.000 0.000
1.995 1.995 2.382
1.995 1.995 0.000
0.000 1.995 2.382
1.995 0.000 2.382
```

space-group type	P4/mmm, No. 123
total energy	-5.197	eV/atom
energy above the lowest structure with this stoichiometry	0.0	kJ/mol of atoms
raw formation energy	-0.802	eV per atom

---

[4]
CaPaAsO5 | PBE-GGA | relaxed

The structure in POSCAR format:
```
CaPaAsO5
1.0
4.163 -4.467 0.000
4.163 4.467 0.000
-3.831 0.000 7.446
Ca Pa As O
2 2 2 10
Cartesian
1.290 3.919 5.584
3.206 -3.919 1.861
2.082 2.234 0.000
0.166 -2.234 3.723
1.290 0.675 5.584
3.206 -0.675 1.861
0.236 1.916 6.327
1.790 0.168 0.196
3.206 2.544 1.861
-0.126 -0.168 3.919
2.344 1.916 4.841
2.152 -1.916 2.604
4.622 0.168 3.527
1.290 -2.544 5.584
2.706 -0.168 7.250
4.260 -1.916 1.119
```

space-group type	C2/c, No. 15
total energy	-7.781	eV/atom
raw formation energy	-2.664	eV per atom

---

[5]
CaPaAsO6 | PBE-GGA | relaxed

The structure in POSCAR format:
```
CaPaAsO6
1.0
5.443 0.000 0.000
-2.721 4.713 0.000
0.000 0.000 9.799
Ca Pa As O
2 2 2 12
Cartesian
0.000 0.000 0.000
0.000 0.000 4.900
0.000 3.142 2.450
2.721 1.571 7.349
0.000 3.142 7.349
2.721 1.571 2.450
-0.807 1.815 6.294
-1.553 3.107 8.405
0.807 1.815 8.405
-0.746 4.505 6.294
1.976 0.209 1.395
1.169 1.607 3.505
1.553 3.107 6.294
0.746 4.505 8.405
3.467 0.209 3.505
1.914 2.898 1.395
4.274 1.607 1.395
3.529 2.898 3.505
```

space-group type	P-31c, No. 163
total energy	-7.613	eV/atom
raw formation energy	-2.513	eV per atom

---

[6]
CaAs2Pb2O6 | PBE-GGA | relaxed

The structure in POSCAR format:
```
CaAs2Pb2O6
1.0
5.424 -2.852 0.000
5.424 2.852 0.000
-4.889 0.000 6.105
Ca As Pb O
1 2 2 6
Cartesian
0.000 0.000 0.000
-1.343 0.000 5.342
7.302 0.000 0.763
1.415 0.000 3.555
4.544 0.000 2.550
-0.405 1.334 4.468
-2.965 0.000 4.719
6.365 1.334 1.637
-0.405 -1.334 4.468
8.925 0.000 1.386
6.365 -1.334 1.637
```

space-group type	C2/m, No. 12
total energy	-5.978	eV/atom
raw formation energy	-1.572	eV per atom